Record 1
Density functional theory data (PBE) for a geometry-optimized PmSi2W4 structure.

Lattice parameters (Å, degrees): 4.4071 4.4637 6.9659 108.69 90.00 90.00
With the nearest neighbours (Å) after each atom.
Atoms (fractional coordinates):
Pm: 0.0000 0.0000 0.0000  8 W 3.36-3.42, 8 Si 3.38
Si: 0.5000 0.5954 0.1907  1 Si 2.52, 5 W 2.57-2.81
Si: 0.5000 0.4046 0.8093  1 Si 2.52, 5 W 2.57-2.81
W: 0.5000 0.8081 0.6162  3 Si 2.57-2.81, 4 W 2.65-2.71
W: 0.0000 0.6967 0.3933  2 Si 2.58, 4 W 2.64-2.65
W: 0.5000 0.1919 0.3838  3 Si 2.57-2.81, 4 W 2.65-2.71
W: 0.0000 0.3033 0.6067  2 Si 2.58, 4 W 2.64-2.65

Uncorrected formation energy   -4.6 kJ/mol of atoms
D(E_F)   7.97 states/eV/f.u.

Record 2
Density functional theory data (PBE) for a geometry-optimized Pm6Y2Si structure.

Lattice parameters (Å, degrees): 3.6341 3.6341 25.5713 90.00 90.00 120.00
With the nearest neighbours (Å) after each atom.
Atoms (fractional coordinates):
Pm: 0.6667 0.3333 0.9147  3 Si 3.03
Pm: 0.3333 0.6667 0.4303  3 Y 3.53, 7 Pm 3.57-3.63
Pm: 0.3333 0.6667 0.7947  3 Y 3.59, 9 Pm 3.63-3.72
Pm: 0.3333 0.6667 0.2053  3 Y 3.59, 9 Pm 3.63-3.72
Pm: 0.3333 0.6667 0.5697  3 Y 3.53, 7 Pm 3.57-3.63
Pm: 0.6667 0.3333 0.0853  3 Si 3.03
Y: 0.6667 0.3333 0.3193  6 Pm 3.53-3.59, 6 Y 3.63
Y: 0.6667 0.3333 0.6807  6 Pm 3.53-3.59, 6 Y 3.63
Si: 0.3333 0.6667 0.0000  6 Pm 3.03

Uncorrected formation energy   1.3 kJ/mol of atoms
D(E_F)   12.41 states/eV/f.u.

Record 3
Density functional theory data (PBE) for a geometry-optimized Pm2Y3Si2 structure.

Lattice parameters (Å, degrees): 4.1915 6.3131 8.5398 103.31 104.21 109.39
With the nearest neighbours (Å) after each atom.
Atoms (fractional coordinates):
Pm: 0.6560 0.5026 0.8094  3 Si 3.04-3.30
Pm: 0.3440 0.4974 0.1906  3 Si 3.04-3.30
Y: 0.5000 0.0000 0.0000  4 Si 2.97
Y: 0.1866 0.8139 0.5592  3 Si 3.01-3.04
Y: 0.8134 0.1861 0.4408  3 Si 3.01-3.04
Si: 0.0432 0.8765 0.2099  5 Y 2.97-3.04, 3 Pm 3.04-3.30
Si: 0.9568 0.1235 0.7901  5 Y 2.97-3.04, 3 Pm 3.04-3.30

Uncorrected formation energy   -45.1 kJ/mol of atoms
D(E_F)   8.47 states/eV/f.u.

Record 4
Density functional theory data (PBE) for a geometry-optimized PmYSi3 structure.

Lattice parameters (Å, degrees): 3.9664 4.2325 12.5118 99.74 90.00 90.00
With the nearest neighbours (Å) after each atom.
Atoms (fractional coordinates):
Pm: 0.2500 0.0701 0.1403  12 Si 3.11-3.40
Pm: 0.7500 0.9299 0.8597  12 Si 3.11-3.40
Y: 0.2500 0.7972 0.5945  7 Si 2.94-2.96
Y: 0.7500 0.2028 0.4055  7 Si 2.94-2.96
Si: 0.2500 0.3799 0.7598  3 Si 2.34-2.45
Si: 0.7500 0.6201 0.2402  3 Si 2.34-2.45
Si: 0.2500 0.4750 0.9499  3 Si 2.34
Si: 0.7500 0.5250 0.0501  3 Si 2.34
Si: 0.7500 0.3219 0.6438  2 Si 2.45
Si: 0.2500 0.6781 0.3562  2 Si 2.45

Uncorrected formation energy   -68.8 kJ/mol of atoms
D(E_F)   1.71 states/eV/f.u.

Record 5
Density functional theory data (PBE) for a geometry-optimized Pm2YSi structure.

Lattice parameters (Å, degrees): 4.8976 4.8976 6.2144 66.79 66.79 60.00
With the nearest neighbours (Å) after each atom.
Atoms (fractional coordinates):
Y: 0.0000 0.0000 0.0000  6 Pm 3.31
Si: 0.5000 0.5000 0.5000  6 Pm 3.01
Pm: 0.7704 0.7704 0.6888  3 Si 3.01, 3 Y 3.31
Pm: 0.2296 0.2296 0.3112  3 Si 3.01, 3 Y 3.31

Uncorrected formation energy   -0.8 kJ/mol of atoms
Excess energy over the best structure of this formula in the dataset   0.242 eV per atom
D(E_F)   4.06 states/eV/f.u.

Record 6
Density functional theory data (PBE) for a geometry-optimized PmYSi2 structure.

Lattice parameters (Å, degrees): 4.0432 4.7132 4.7132 90.00 90.00 90.00
With the nearest neighbours (Å) after each atom.
Atoms (fractional coordinates):
Y: 0.5000 0.5000 0.5000  8 Si 3.10, 4 Pm 3.33
Si: 0.0000 0.0000 0.5000  4 Pm 3.10, 4 Y 3.10, 4 Si 3.33
Si: 0.0000 0.5000 0.0000  4 Pm 3.10, 4 Y 3.10, 4 Si 3.33
Pm: 0.5000 0.0000 0.0000  8 Si 3.10, 4 Y 3.33

Uncorrected formation energy   -43.8 kJ/mol of atoms
Excess energy over the best structure of this formula in the dataset   0.358 eV per atom
D(E_F)   3.70 states/eV/f.u.

Record 7
Density functional theory data (PBE) for a geometry-optimized Pm2YSi structure.

Lattice parameters (Å, degrees): 4.0543 4.0543 6.6823 90.00 90.00 90.00
With the nearest neighbours (Å) after each atom.
Atoms (fractional coordinates):
Y: 0.5000 0.5000 0.5000  2 Si 3.34, 8 Pm 3.43
Si: 0.5000 0.5000 0.0000  8 Pm 3.21, 2 Y 3.34
Pm: 0.0000 0.0000 0.7831  1 Pm 2.90, 4 Si 3.21
Pm: 0.0000 0.0000 0.2169  1 Pm 2.90, 4 Si 3.21

Uncorrected formation energy   -22.6 kJ/mol of atoms
Excess energy over the best structure of this formula in the dataset   0.016 eV per atom
D(E_F)   4.03 states/eV/f.u.

Record 8
Density functional theory data (PBE) for a geometry-optimized Pm8YSi4 structure.

Lattice parameters (Å, degrees): 6.2824 8.1149 8.1149 81.38 67.23 67.23
With the nearest neighbours (Å) after each atom.
Atoms (fractional coordinates):
Pm: 0.0000 0.3252 0.6748  4 Si 3.18, 2 Pm 3.36, 1 Y 3.44
Pm: 0.0000 0.6748 0.3252  4 Si 3.18, 2 Pm 3.36, 1 Y 3.44
Pm: 0.3252 0.6748 0.6748  4 Si 3.18, 2 Pm 3.36, 1 Y 3.44
Pm: 0.6748 0.3252 0.3252  4 Si 3.18, 2 Pm 3.36, 1 Y 3.44
Pm: 0.5000 0.7882 0.2118  4 Si 3.10, 4 Pm 3.17-3.36
Pm: 0.5000 0.2118 0.7882  4 Si 3.10, 4 Pm 3.17-3.36
Pm: 0.2882 0.2118 0.2118  4 Si 3.10, 4 Pm 3.17-3.36
Pm: 0.7118 0.7882 0.7882  4 Si 3.10, 4 Pm 3.17-3.36
Y: 0.0000 0.0000 0.0000  4 Pm 3.44
Si: 0.0000 0.0000 0.5000  8 Pm 3.10-3.18, 2 Si 3.14
Si: 0.5000 0.0000 0.5000  8 Pm 3.10-3.18, 2 Si 3.14
Si: 0.0000 0.5000 0.0000  8 Pm 3.10-3.18, 2 Si 3.14
Si: 0.5000 0.5000 0.0000  8 Pm 3.10-3.18, 2 Si 3.14

Uncorrected formation energy   -27.9 kJ/mol of atoms
D(E_F)   13.08 states/eV/f.u.

Record 9
Density functional theory data (PBE) for a geometry-optimized PmY2Si structure.

Lattice parameters (Å, degrees): 4.6567 4.7049 4.7049 90.00 90.00 90.00
With the nearest neighbours (Å) after each atom.
Atoms (fractional coordinates):
Y: 0.0000 0.0000 0.5000  4 Pm 3.31, 4 Si 3.31, 4 Y 3.33
Y: 0.0000 0.5000 0.0000  4 Pm 3.31, 4 Si 3.31, 4 Y 3.33
Si: 0.5000 0.5000 0.5000  8 Y 3.31, 4 Pm 3.33
Pm: 0.5000 0.0000 0.0000  8 Y 3.31, 4 Si 3.33

Uncorrected formation energy   -23.2 kJ/mol of atoms
D(E_F)   5.16 states/eV/f.u.

Record 10
Density functional theory data (PBE) for a geometry-optimized PmYSi structure.

Lattice parameters (Å, degrees): 4.2626 4.6866 4.6866 120.00 90.00 90.00
With the nearest neighbours (Å) after each atom.
Atoms (fractional coordinates):
Y: 0.5714 0.6667 0.3333  3 Si 2.82
Si: 0.3858 0.3333 0.6667  3 Y 2.82, 3 Pm 3.08
Pm: 0.0428 0.0000 0.0000  3 Si 3.08, 3 Y 3.37

Uncorrected formation energy   -30.3 kJ/mol of atoms
Excess energy over the best structure of this formula in the dataset   0.161 eV per atom
D(E_F)   1.77 states/eV/f.u.

Record 11
Density functional theory data (PBE) for a geometry-optimized PmYSi2 structure.

Lattice parameters (Å, degrees): 4.6439 4.6439 5.8408 66.58 66.58 60.00
With the nearest neighbours (Å) after each atom.
Atoms (fractional coordinates):
Y: 0.5000 0.5000 0.5000  6 Si 2.94
Si: 0.7557 0.7557 0.7329  3 Y 2.94, 3 Pm 3.02
Si: 0.2443 0.2443 0.2671  3 Y 2.94, 3 Pm 3.02
Pm: 0.0000 0.0000 0.0000  6 Si 3.02

Uncorrected formation energy   -48.5 kJ/mol of atoms
Excess energy over the best structure of this formula in the dataset   0.310 eV per atom
D(E_F)   2.23 states/eV/f.u.

Record 12
Density functional theory data (PBE) for a geometry-optimized Pm2YSi2 structure.

Lattice parameters (Å, degrees): 4.3563 7.5949 7.5949 90.00 90.00 90.00
With the nearest neighbours (Å) after each atom.
Atoms (fractional coordinates):
Pm: 0.5000 0.1766 0.6766  6 Si 3.13-3.14
Pm: 0.5000 0.6766 0.8234  6 Si 3.13-3.14
Pm: 0.5000 0.8234 0.3234  6 Si 3.13-3.14
Pm: 0.5000 0.3234 0.1766  6 Si 3.13-3.14
Y: 0.0000 0.0000 0.0000  4 Si 3.05
Y: 0.0000 0.5000 0.5000  4 Si 3.05
Si: 0.0000 0.3854 0.8854  1 Si 2.46
Si: 0.0000 0.8854 0.6146  1 Si 2.46
Si: 0.0000 0.6146 0.1146  1 Si 2.46
Si: 0.0000 0.1146 0.3854  1 Si 2.46

Uncorrected formation energy   -68.2 kJ/mol of atoms
Excess energy over the best structure of this formula in the dataset   0.000 eV per atom
D(E_F)   4.19 states/eV/f.u.

- The lowest uncorrected formation energy belongs to which entry?
  PmYSi3

- Which formula does entry 5 have?
  Pm2YSi

- The lowest uncorrected formation energy belongs to which entry?
  PmYSi3

What did the fourth record say?
Density functional theory data (PBE) for a geometry-optimized PmYSi3 structure.

Lattice parameters (Å, degrees): 3.9664 4.2325 12.5118 99.74 90.00 90.00
With the nearest neighbours (Å) after each atom.
Atoms (fractional coordinates):
Pm: 0.2500 0.0701 0.1403  12 Si 3.11-3.40
Pm: 0.7500 0.9299 0.8597  12 Si 3.11-3.40
Y: 0.2500 0.7972 0.5945  7 Si 2.94-2.96
Y: 0.7500 0.2028 0.4055  7 Si 2.94-2.96
Si: 0.2500 0.3799 0.7598  3 Si 2.34-2.45
Si: 0.7500 0.6201 0.2402  3 Si 2.34-2.45
Si: 0.2500 0.4750 0.9499  3 Si 2.34
Si: 0.7500 0.5250 0.0501  3 Si 2.34
Si: 0.7500 0.3219 0.6438  2 Si 2.45
Si: 0.2500 0.6781 0.3562  2 Si 2.45

Uncorrected formation energy   -68.8 kJ/mol of atoms
D(E_F)   1.71 states/eV/f.u.